Version a
# NiRu2Cl (PBE-GGA, optimized geometry)
data_NiRu2Cl
_chemical_formula_sum 'Ni1 Ru2 Cl1'
_space_group_name_H-M_alt 'P m m 2'
_space_group_IT_number 25
_cell_length_a 2.848
_cell_length_b 3.362
_cell_length_c 6.462
_cell_angle_alpha 90.00
_cell_angle_beta 90.00
_cell_angle_gamma 90.00
loop_
_space_group_symop_operation_xyz
'x,y,z'
'-x,-y,z'
'-x,y,z'
'x,-y,z'
loop_
_atom_site_label
_atom_site_type_symbol
_atom_site_fract_x
_atom_site_fract_y
_atom_site_fract_z
Ni1 Ni 0.000 0.000 0.000
Ru1 Ru 0.000 0.000 0.590
Ru2 Ru 0.500 0.500 0.783
Cl1 Cl 0.000 0.500 0.275
# * magnetization: 0.0 Bohr magnetons per cell
# * density of states at the Fermi level: 5.5 states/eV/cell

Version b
# NiRu2Cl (PBE-GGA, optimized geometry)
data_NiRu2Cl
_chemical_formula_sum 'Ni2 Ru4 Cl2'
_space_group_name_H-M_alt 'C 1 2/m 1'
_space_group_IT_number 12
_cell_length_a 8.140
_cell_length_b 2.809
_cell_length_c 7.426
_cell_angle_alpha 90.00
_cell_angle_beta 122.74
_cell_angle_gamma 90.00
loop_
_space_group_symop_operation_xyz
'x,y,z'
'-x,-y,-z'
'-x,y,-z'
'x,-y,z'
'x+1/2,y+1/2,z'
'-x+1/2,-y+1/2,-z'
'-x+1/2,y+1/2,-z'
'x+1/2,-y+1/2,z'
loop_
_atom_site_label
_atom_site_type_symbol
_atom_site_fract_x
_atom_site_fract_y
_atom_site_fract_z
Ni1 Ni 0.000 0.000 0.000
Ru1 Ru 0.203 0.000 0.838
Cl1 Cl 0.000 0.500 0.500
# * magnetization: 0.0 Bohr magnetons per cell
# * density of states at the Fermi level: 11.8 states/eV/cell

Version c
# NiRu2Cl (PBE-GGA, optimized geometry)
data_NiRu2Cl
_chemical_formula_sum 'Ni2 Ru4 Cl2'
_space_group_name_H-M_alt 'I -4 m 2'
_space_group_IT_number 119
_space_group_name_Hall 'I -4 -2'
_cell_length_a 4.084
_cell_length_b 4.084
_cell_length_c 6.710
_cell_angle_alpha 90.00
_cell_angle_beta 90.00
_cell_angle_gamma 90.00
loop_
_atom_site_label
_atom_site_type_symbol
_atom_site_fract_x
_atom_site_fract_y
_atom_site_fract_z
Ni1 Ni 0.000 0.000 0.000
Ru1 Ru 0.000 0.000 0.500
Ru2 Ru 0.000 0.500 0.750
Cl1 Cl 0.000 0.500 0.250
# * magnetization: 0.0 Bohr magnetons per cell
# * density of states at the Fermi level: 10.6 states/eV/cell

Version d
# NiRu2Cl (PBE-GGA, optimized geometry)
data_NiRu2Cl
_chemical_formula_sum 'Ni2 Ru4 Cl2'
_space_group_name_H-M_alt 'I m m 2'
_space_group_IT_number 44
_cell_length_a 2.803
_cell_length_b 4.373
_cell_length_c 8.937
_cell_angle_alpha 90.00
_cell_angle_beta 90.00
_cell_angle_gamma 90.00
loop_
_space_group_symop_operation_xyz
'x,y,z'
'-x,-y,z'
'-x,y,z'
'x,-y,z'
'x+1/2,y+1/2,z+1/2'
'-x+1/2,-y+1/2,z+1/2'
'-x+1/2,y+1/2,z+1/2'
'x+1/2,-y+1/2,z+1/2'
loop_
_atom_site_label
_atom_site_type_symbol
_atom_site_fract_x
_atom_site_fract_y
_atom_site_fract_z
Ni1 Ni 0.000 0.000 0.000
Ru1 Ru 0.000 0.000 0.526
Ru2 Ru 0.000 0.500 0.776
Cl1 Cl 0.000 0.500 0.256
# * magnetization: 1.9 Bohr magnetons per cell
# * density of states at the Fermi level: 12.4 states/eV/cell

Least stable of them? version c.